{
  "formula": "W",
  "functional": "SCAN",
  "state": "single point on PBEsol structure",
  "ef_mev_per_atom": 0,
  "de_polymorph_ev_per_atom": 0.000,
  "dos_ef_per_ev_cell": 0.335,
  "m_tot_mub_per_fu": 0.0,
  "lattice": [[-1.5761, 1.5761, 1.5761], [1.5761, -1.5761, 1.5761], [1.5761, 1.5761, -1.5761]],
  "species": ["W"],
  "frac_coords": [[0.0000, 0.0000, 0.0000]]
}

=====

{
  "formula": "Y3W",
  "functional": "SCAN",
  "state": "single point on PBEsol structure",
  "ef_mev_per_atom": 680,
  "de_polymorph_ev_per_atom": 0.108,
  "dos_ef_per_ev_cell": 5.750,
  "m_tot_mub_per_fu": 0.0,
  "lattice": [[5.1949, 2.9993, 1.0230], [-5.1949, 2.9993, 1.0230], [0.0000, -5.9986, 1.0230]],
  "species": ["Y", "Y", "Y", "W"],
  "frac_coords": [[0.0000, 0.5000, 0.5000], [0.5000, 0.0000, 0.5000], [0.5000, 0.5000, 0.0000], [0.0000, 0.0000, 0.0000]]
}

=====

{
  "formula": "Y2W3",
  "functional": "SCAN",
  "state": "single point on PBEsol structure",
  "ef_mev_per_atom": 861,
  "dos_ef_per_ev_cell": 5.420,
  "m_tot_mub_per_fu": 0.0,
  "lattice": [[3.1082, 0.0000, 0.0000], [-1.5541, 2.6918, 0.0000], [0.0000, 0.0000, 11.9501]],
  "species": ["Y", "Y", "W", "W", "W"],
  "frac_coords": [[0.3333, 0.6667, 0.2900], [0.6667, 0.3333, 0.7100], [0.0000, 0.0000, 0.5000], [0.3333, 0.6667, 0.9245], [0.6667, 0.3333, 0.0755]]
}

=====

{
  "formula": "YW2",
  "functional": "SCAN",
  "state": "single point on PBEsol structure",
  "ef_mev_per_atom": 808,
  "dos_ef_per_ev_cell": 2.120,
  "m_tot_mub_per_fu": 0.0,
  "lattice": [[-1.3643, 2.4447, 4.1501], [1.3643, -2.4447, 4.1501], [1.3643, 2.4447, -4.1501]],
  "species": ["Y", "W", "W"],
  "frac_coords": [[0.0000, 0.0000, 0.0000], [0.3378, 0.3378, 0.0000], [0.6622, 0.6622, 0.0000]]
}

=====

{
  "formula": "YW2",
  "functional": "SCAN",
  "state": "single point on PBEsol structure",
  "ef_mev_per_atom": 741,
  "dos_ef_per_ev_cell": 2.250,
  "m_tot_mub_per_fu": 0.0,
  "lattice": [[4.1708, 0.0000, 0.0000], [-2.0854, 3.6120, 0.0000], [0.0000, 0.0000, 4.4683]],
  "species": ["Y", "W", "W"],
  "frac_coords": [[0.0000, 0.0000, 0.0000], [0.3333, 0.6667, 0.5000], [0.6667, 0.3333, 0.5000]]
}

=====

{
  "formula": "Y3W",
  "functional": "SCAN",
  "state": "single point on PBEsol structure",
  "ef_mev_per_atom": 572,
  "de_polymorph_ev_per_atom": 0.000,
  "dos_ef_per_ev_cell": 5.396,
  "m_tot_mub_per_fu": 0.0,
  "lattice": [[3.2315, 0.0000, 0.0000], [0.0000, 4.8041, 0.0000], [-1.3428, 0.0000, 6.2962]],
  "species": ["Y", "Y", "Y", "W"],
  "frac_coords": [[0.0000, 0.0000, 0.0000], [0.4029, 0.5000, 0.7229], [0.5971, 0.5000, 0.2771], [0.0000, 0.0000, 0.5000]]
}

=====

{
  "formula": "YW2",
  "functional": "SCAN",
  "state": "single point on PBEsol structure",
  "ef_mev_per_atom": 381,
  "dos_ef_per_ev_cell": 2.957,
  "m_tot_mub_per_fu": 0.0,
  "lattice": [[-1.6311, 1.6311, 5.3870], [1.6311, -1.6311, 5.3870], [1.6311, 1.6311, -5.3870]],
  "species": ["Y", "W", "W"],
  "frac_coords": [[0.0000, 0.0000, 0.0000], [0.3094, 0.3094, 0.0000], [0.6906, 0.6906, 0.0000]]
}

=====

{
  "formula": "Y3W2",
  "functional": "SCAN",
  "state": "single point on PBEsol structure",
  "ef_mev_per_atom": 561,
  "dos_ef_per_ev_cell": 4.559,
  "m_tot_mub_per_fu": 0.0,
  "lattice": [[3.8934, -2.5394, 0.0000], [3.8934, 2.5394, 0.0000], [-2.1629, 0.0000, 5.6546]],
  "species": ["Y", "Y", "Y", "W", "W"],
  "frac_coords": [[0.0000, 0.0000, 0.0000], [0.4235, 0.4235, 0.2402], [0.5765, 0.5765, 0.7598], [0.1709, 0.1709, 0.5519], [0.8291, 0.8291, 0.4481]]
}

=====

{
  "formula": "Y3W",
  "functional": "SCAN",
  "state": "single point on PBEsol structure",
  "ef_mev_per_atom": 578,
  "de_polymorph_ev_per_atom": 0.006,
  "dos_ef_per_ev_cell": 4.775,
  "m_tot_mub_per_fu": 0.0,
  "lattice": [[3.1302, 0.0000, 0.0000], [0.0000, 4.7457, 0.0000], [0.0000, 0.0000, 6.5465]],
  "species": ["Y", "Y", "Y", "W"],
  "frac_coords": [[0.0000, 0.0000, 0.0000], [0.5000, 0.5000, 0.2788], [0.5000, 0.5000, 0.7212], [0.0000, 0.0000, 0.5000]]
}

=====

{
  "formula": "Y2ZnW",
  "functional": "SCAN",
  "state": "single point on PBEsol structure",
  "ef_mev_per_atom": 244,
  "dos_ef_per_ev_cell": 5.113,
  "m_tot_mub_per_fu": 0.0,
  "lattice": [[3.4442, 0.0000, 0.0000], [0.0000, 3.4442, 0.0000], [0.0000, 0.0000, 7.2171]],
  "species": ["Y", "Y", "Zn", "W"],
  "frac_coords": [[0.0000, 0.0000, 0.2404], [0.0000, 0.0000, 0.7596], [0.5000, 0.5000, 0.5000], [0.5000, 0.5000, 0.0000]]
}

=====

{
  "formula": "Y2ZnW",
  "functional": "SCAN",
  "state": "single point on PBEsol structure",
  "ef_mev_per_atom": 262,
  "dos_ef_per_ev_cell": 2.837,
  "m_tot_mub_per_fu": 0.0,
  "lattice": [[-1.8625, 2.3282, 4.8626], [1.8625, -2.3282, 4.8626], [1.8625, 2.3282, -4.8626]],
  "species": ["Y", "Y", "Zn", "W"],
  "frac_coords": [[0.0000, 0.0000, 0.0000], [0.7159, 0.2159, 0.5000], [0.2544, 0.7544, 0.5000], [0.4394, 0.4394, 0.0000]]
}

=====

{
  "formula": "YZnW",
  "functional": "SCAN",
  "state": "single point on PBEsol structure",
  "ef_mev_per_atom": 834,
  "de_polymorph_ev_per_atom": 0.359,
  "dos_ef_per_ev_cell": 2.701,
  "m_tot_mub_per_fu": 0.0,
  "lattice": [[0.0000, 3.1394, 3.1394], [3.1394, 0.0000, 3.1394], [3.1394, 3.1394, 0.0000]],
  "species": ["Y", "Zn", "W"],
  "frac_coords": [[0.0000, 0.0000, 0.0000], [0.7500, 0.7500, 0.7500], [0.5000, 0.5000, 0.5000]]
}

=====

{
  "formula": "YZnW",
  "functional": "SCAN",
  "state": "single point on PBEsol structure",
  "ef_mev_per_atom": 474,
  "de_polymorph_ev_per_atom": 0.000,
  "dos_ef_per_ev_cell": 2.292,
  "m_tot_mub_per_fu": 0.0,
  "lattice": [[4.7655, 0.0000, 0.0000], [-2.3827, 4.1270, 0.0000], [0.0000, 0.0000, 2.8439]],
  "species": ["Y", "Zn", "W"],
  "frac_coords": [[0.0000, 0.0000, 0.0000], [0.3333, 0.6667, 0.5000], [0.6667, 0.3333, 0.5000]]
}

=====

{
  "formula": "YZn2W",
  "functional": "SCAN",
  "state": "single point on PBEsol structure",
  "ef_mev_per_atom": 354,
  "de_polymorph_ev_per_atom": 0.094,
  "dos_ef_per_ev_cell": 1.892,
  "m_tot_mub_per_fu": 0.0,
  "lattice": [[-1.9753, 1.9753, 4.4715], [1.9753, -1.9753, 4.4715], [1.9753, 1.9753, -4.4715]],
  "species": ["Y", "Zn", "Zn", "W"],
  "frac_coords": [[0.0000, 0.0000, 0.0000], [0.5000, 0.5000, 0.0000], [0.7500, 0.2500, 0.5000], [0.2500, 0.7500, 0.5000]]
}

=====

{
  "formula": "YZn2W",
  "functional": "SCAN",
  "state": "single point on PBEsol structure",
  "ef_mev_per_atom": 260,
  "de_polymorph_ev_per_atom": 0.000,
  "dos_ef_per_ev_cell": 2.807,
  "m_tot_mub_per_fu": 1.0,
  "lattice": [[0.0000, 3.2590, 3.2590], [3.2590, 0.0000, 3.2590], [3.2590, 3.2590, 0.0000]],
  "species": ["Y", "Zn", "Zn", "W"],
  "frac_coords": [[0.0000, 0.0000, 0.0000], [0.2500, 0.2500, 0.2500], [0.7500, 0.7500, 0.7500], [0.5000, 0.5000, 0.5000]]
}

=====

{
  "formula": "YZrW4",
  "functional": "SCAN",
  "state": "single point on PBEsol structure",
  "ef_mev_per_atom": 24,
  "dos_ef_per_ev_cell": 4.911,
  "m_tot_mub_per_fu": 0.0,
  "lattice": [[0.0000, 3.8286, 3.8286], [3.8286, 0.0000, 3.8286], [3.8286, 3.8286, 0.0000]],
  "species": ["Y", "Zr", "W", "W", "W", "W"],
  "frac_coords": [[0.0000, 0.0000, 0.0000], [0.7500, 0.7500, 0.7500], [0.3749, 0.3749, 0.3749], [0.3749, 0.3749, 0.8753], [0.3749, 0.8753, 0.3749], [0.8753, 0.3749, 0.3749]]
}

=====

{
  "formula": "Y4ZrW",
  "functional": "SCAN",
  "state": "single point on PBEsol structure",
  "ef_mev_per_atom": 1040,
  "dos_ef_per_ev_cell": 8.606,
  "m_tot_mub_per_fu": 0.0,
  "lattice": [[0.0000, 4.2004, 4.2004], [4.2004, 0.0000, 4.2004], [4.2004, 4.2004, 0.0000]],
  "species": ["Y", "Y", "Y", "Y", "Zr", "W"],
  "frac_coords": [[0.1242, 0.1242, 0.1242], [0.1242, 0.1242, 0.6273], [0.1242, 0.6273, 0.1242], [0.6273, 0.1242, 0.1242], [0.5000, 0.5000, 0.5000], [0.7500, 0.7500, 0.7500]]
}

=====

{
  "formula": "YZrW",
  "functional": "SCAN",
  "state": "single point on PBEsol structure",
  "ef_mev_per_atom": 544,
  "de_polymorph_ev_per_atom": 0.000,
  "dos_ef_per_ev_cell": 3.918,
  "m_tot_mub_per_fu": 0.0,
  "lattice": [[-1.4516, 2.4606, 4.3223], [1.4516, -2.4606, 4.3223], [1.4516, 2.4606, -4.3223]],
  "species": ["Y", "Zr", "W"],
  "frac_coords": [[0.0000, 0.0000, 0.0000], [0.6719, 0.6719, 0.0000], [0.3374, 0.3374, 0.0000]]
}

=====

{
  "formula": "YZrW",
  "functional": "SCAN",
  "state": "single point on PBEsol structure",
  "ef_mev_per_atom": 748,
  "de_polymorph_ev_per_atom": 0.205,
  "dos_ef_per_ev_cell": 3.063,
  "m_tot_mub_per_fu": 0.0,
  "lattice": [[0.0000, 3.2864, 3.2864], [3.2864, 0.0000, 3.2864], [3.2864, 3.2864, 0.0000]],
  "species": ["Y", "Zr", "W"],
  "frac_coords": [[0.0000, 0.0000, 0.0000], [0.5000, 0.5000, 0.5000], [0.2500, 0.2500, 0.2500]]
}

=====

{
  "formula": "Zn3W",
  "functional": "SCAN",
  "state": "single point on PBEsol structure",
  "ef_mev_per_atom": 366,
  "dos_ef_per_ev_cell": 1.612,
  "m_tot_mub_per_fu": 0.0,
  "lattice": [[-1.8392, 1.8392, 4.1848], [1.8392, -1.8392, 4.1848], [1.8392, 1.8392, -4.1848]],
  "species": ["Zn", "Zn", "Zn", "W"],
  "frac_coords": [[0.0000, 0.0000, 0.0000], [0.2500, 0.7500, 0.5000], [0.7500, 0.2500, 0.5000], [0.5000, 0.5000, 0.0000]]
}

=====

{
  "formula": "Zn3W",
  "functional": "SCAN",
  "state": "single point on PBEsol structure",
  "ef_mev_per_atom": 168,
  "dos_ef_per_ev_cell": 1.263,
  "m_tot_mub_per_fu": 0.0,
  "lattice": [[1.6540, -2.0755, 0.0000], [1.6540, 2.0755, 0.0000], [0.0000, 0.0000, 8.3383]],
  "species": ["Zn", "Zn", "Zn", "W"],
  "frac_coords": [[0.0000, 0.0000, 0.0000], [0.5000, 0.5000, 0.2461], [0.5000, 0.5000, 0.7539], [0.0000, 0.0000, 0.5000]]
}

=====

{
  "formula": "ZrZn2W",
  "functional": "SCAN",
  "state": "single point on PBEsol structure",
  "ef_mev_per_atom": 206,
  "de_polymorph_ev_per_atom": 0.213,
  "dos_ef_per_ev_cell": 1.152,
  "m_tot_mub_per_fu": 0.0,
  "lattice": [[2.7796, 0.0000, 0.0000], [0.0000, 4.0673, 0.0000], [0.0000, 0.0000, 5.7858]],
  "species": ["Zr", "Zn", "Zn", "W"],
  "frac_coords": [[0.0000, 0.0000, 0.0000], [0.0000, 0.0000, 0.4931], [0.5000, 0.5000, 0.7299], [0.5000, 0.5000, 0.2645]]
}

=====

{
  "formula": "ZrZn2W",
  "functional": "SCAN",
  "state": "single point on PBEsol structure",
  "ef_mev_per_atom": 209,
  "de_polymorph_ev_per_atom": 0.216,
  "dos_ef_per_ev_cell": 2.336,
  "m_tot_mub_per_fu": 0.0,
  "lattice": [[1.4087, 0.8133, 9.4494], [-1.4087, 0.8133, 9.4494], [0.0000, -1.6266, 9.4494]],
  "species": ["Zr", "Zn", "Zn", "W"],
  "frac_coords": [[0.0000, 0.0000, 0.0000], [0.2455, 0.2455, 0.2455], [0.7545, 0.7545, 0.7545], [0.5000, 0.5000, 0.5000]]
}

=====

{
  "formula": "ZrZn2W",
  "functional": "SCAN",
  "state": "single point on PBEsol structure",
  "ef_mev_per_atom": 126,
  "de_polymorph_ev_per_atom": 0.133,
  "dos_ef_per_ev_cell": 1.949,
  "m_tot_mub_per_fu": 0.0,
  "lattice": [[-1.4658, 2.3704, 4.5983], [1.4658, -2.3704, 4.5983], [1.4658, 2.3704, -4.5983]],
  "species": ["Zr", "Zn", "Zn", "W"],
  "frac_coords": [[0.0000, 0.0000, 0.0000], [0.5113, 0.5113, 0.0000], [0.7324, 0.2324, 0.5000], [0.2653, 0.7653, 0.5000]]
}

=====

{
  "formula": "ZrZnW2",
  "functional": "SCAN",
  "state": "single point on PBEsol structure",
  "ef_mev_per_atom": 262,
  "dos_ef_per_ev_cell": 2.842,
  "m_tot_mub_per_fu": 0.0,
  "lattice": [[2.7579, 0.0000, 0.0000], [0.0000, 4.7421, 0.0000], [-0.5479, 0.0000, 5.0630]],
  "species": ["Zr", "Zn", "W", "W"],
  "frac_coords": [[0.0000, 0.0000, 0.0000], [0.5000, 0.0000, 0.5000], [0.2838, 0.5000, 0.7538], [0.7162, 0.5000, 0.2462]]
}

=====

{
  "formula": "ZrZnW",
  "functional": "SCAN",
  "state": "single point on PBEsol structure",
  "ef_mev_per_atom": 620,
  "dos_ef_per_ev_cell": 1.981,
  "m_tot_mub_per_fu": 0.0,
  "lattice": [[0.0000, 3.0324, 3.0324], [3.0324, 0.0000, 3.0324], [3.0324, 3.0324, 0.0000]],
  "species": ["Zr", "Zn", "W"],
  "frac_coords": [[0.0000, 0.0000, 0.0000], [0.7500, 0.7500, 0.7500], [0.5000, 0.5000, 0.5000]]
}

=====

{
  "formula": "ZrZn2W",
  "functional": "SCAN",
  "state": "single point on PBEsol structure",
  "ef_mev_per_atom": -7,
  "de_polymorph_ev_per_atom": 0.000,
  "dos_ef_per_ev_cell": 1.538,
  "m_tot_mub_per_fu": 0.0,
  "lattice": [[2.8047, 0.0000, 0.0000], [0.0000, 3.9380, 0.0000], [0.0000, 0.0000, 5.7234]],
  "species": ["Zr", "Zn", "Zn", "W"],
  "frac_coords": [[0.0000, 0.0000, 0.0000], [0.5000, 0.5000, 0.2729], [0.5000, 0.5000, 0.7271], [0.0000, 0.0000, 0.5000]]
}

=====

{
  "formula": "Zr4W3",
  "functional": "SCAN",
  "state": "single point on PBEsol structure",
  "ef_mev_per_atom": -14,
  "dos_ef_per_ev_cell": 5.699,
  "m_tot_mub_per_fu": 0.0,
  "lattice": [[5.2634, 0.0000, 0.0000], [-2.6317, 4.5583, 0.0000], [0.0000, 0.0000, 5.5895]],
  "species": ["Zr", "Zr", "Zr", "Zr", "W", "W", "W"],
  "frac_coords": [[0.0000, 0.0000, 0.2358], [0.0000, 0.0000, 0.7642], [0.3333, 0.6667, 0.0000], [0.6667, 0.3333, 0.0000], [0.0000, 0.5000, 0.5000], [0.5000, 0.0000, 0.5000], [0.5000, 0.5000, 0.5000]]
}

=====

{
  "formula": "Y",
  "functional": "SCAN",
  "state": "single point on PBEsol structure",
  "ef_mev_per_atom": 24,
  "de_polymorph_ev_per_atom": 0.024,
  "dos_ef_per_ev_cell": 4.018,
  "m_tot_mub_per_fu": 0.1,
  "lattice": [[1.7680, 1.0208, 8.4585], [-1.7680, 1.0208, 8.4585], [0.0000, -2.0415, 8.4585]],
  "species": ["Y", "Y", "Y"],
  "frac_coords": [[0.0000, 0.0000, 0.0000], [0.2219, 0.2219, 0.2219], [0.7781, 0.7781, 0.7781]]
}

=====

{
  "formula": "Y",
  "functional": "SCAN",
  "state": "single point on PBEsol structure",
  "ef_mev_per_atom": 59,
  "de_polymorph_ev_per_atom": 0.059,
  "dos_ef_per_ev_cell": 1.413,
  "m_tot_mub_per_fu": 0.0,
  "lattice": [[-1.7527, 1.7527, 2.4726], [1.7527, -1.7527, 2.4726], [1.7527, 1.7527, -2.4726]],
  "species": ["Y"],
  "frac_coords": [[0.0000, 0.0000, 0.0000]]
}

=====

{
  "formula": "Y",
  "functional": "SCAN",
  "state": "single point on PBEsol structure",
  "ef_mev_per_atom": 0,
  "de_polymorph_ev_per_atom": 0.000,
  "dos_ef_per_ev_cell": 2.747,
  "m_tot_mub_per_fu": 0.5,
  "lattice": [[3.5829, 0.0000, 0.0000], [-1.7914, 3.1029, 0.0000], [0.0000, 0.0000, 5.5702]],
  "species": ["Y", "Y"],
  "frac_coords": [[0.3333, 0.6667, 0.2500], [0.6667, 0.3333, 0.7500]]
}

=====

no.,total energy (eV per atom)
1,-69.69
2,-37.62
3,-52.09
4,-54.93
5,-55.00
6,-37.73
7,-55.36
8,-44.02
9,-37.73
10,-34.48
11,-34.46
12,-36.18
13,-36.54
14,-30.79
15,-30.88
16,-56.19
17,-34.25
18,-42.20
19,-41.99
20,-27.19
21,-27.39
22,-31.65
23,-31.65
24,-31.73
25,-45.64
26,-37.35
27,-31.86
28,-47.42
29,-27.82
30,-27.78
31,-27.84